Ca3Cu2: optimized geometry, PBE. Values from VASP.

The structure in Quantum ESPRESSO input format:
```
&SYSTEM
  ibrav = 0, nat = 5, ntyp = 2
/
ATOMIC_SPECIES
Ca 40.08 Ca.upf
Cu 63.55 Cu.upf
ATOMIC_POSITIONS crystal
Ca 0.8063 0.6937 0.6937
Ca 0.0000 0.0000 0.0000
Ca 0.1937 0.3063 0.3063
Cu 0.5000 0.6844 0.3156
Cu 0.5000 0.3156 0.6844
CELL_PARAMETERS angstrom
4.2611 0.0000 0.0000
2.1305 5.8422 0.1949
2.1305 1.9027 5.5271
```

- Formation energy from the elements: -0.378 eV/f.u.
- DOS at the Fermi energy: 0.7716 states/eV/atom
- V: 136 Å³ per cell
- Offset from the most stable computed form: 0.133 eV/f.u.
- Mass density: 3.02 Mg/m³
- DFT total energy: -2.915 eV per atom

CaCu3: optimized geometry, PBE. Values from VASP.

The structure in Quantum ESPRESSO input format:
```
&SYSTEM
  ibrav = 0, nat = 4, ntyp = 2
/
ATOMIC_SPECIES
Ca 40.08 Ca.upf
Cu 63.55 Cu.upf
ATOMIC_POSITIONS crystal
Ca 0.0000 0.0000 0.0000
Cu 0.6667 0.3333 0.6891
Cu 0.6667 0.3333 0.3109
Cu 0.0000 0.0000 0.5000
CELL_PARAMETERS angstrom
-1.6357 0.3727 -3.4232
-1.2992 -2.6067 2.4596
-4.0220 4.2551 2.3851
```

- Formation energy from the elements: 1.040 eV/f.u.
- DOS at the Fermi energy: 0.3655 states/eV/atom
- V: 80 Å³ per cell
- Mass density: 4.81 Mg/m³
- DFT total energy: -3.313 eV per atom